Entry from Alexandria via LeMat-Bulk: a relaxed structure of RbTeSe4 (PBE-GGA).

The structure belongs to space group C2/c (No. 15); the cell edges are 12.077, 10.932 and 9.013 Å and the angles 90.00°, 130.79° and 90.00°. The inequivalent atoms are Rb at (0.000, 0.249, 0.250), Te at (0.000, 0.301, 0.750), Se at (0.190, 0.175, 0.756) and Se at (0.214, 0.387, 0.716).

The formation energy (no corrections) comes out at -0.20 eV/atom. Its offset from the most stable computed form is 0 meV per atom. Its crystal system is monoclinic. The calculation puts the raw total energy at -3.208 eV/atom.

---

Entry from Alexandria via LeMat-Bulk: a relaxed structure of Ac12S3N5 (PBE-GGA).

The structure belongs to space group Ia-3d (No. 230); the cell edges are 16.751, 16.751 and 16.751 Å and the angles 90.00°, 90.00° and 90.00°. The inequivalent atoms are Ac at (0.034, 0.054, 0.651), S at (0.000, 0.250, 0.125), N at (0.000, 0.000, 0.000) and N at (0.000, 0.250, 0.375).

The formation energy (no corrections) comes out at -0.92 eV/atom. Its crystal system is cubic. The calculation puts the raw total energy at -6.087 eV/atom.